{"formula": "TlNiTeS3", "functional": "PBE", "state": "relaxed", "lattice_angstrom": [[8.699, 0.000, 0.000], [0.000, 3.949, 0.000], [-2.044, 0.000, 8.630]], "species": ["Tl", "Tl", "Ni", "Ni", "Te", "Te", "S", "S", "S", "S", "S", "S"], "fractional_positions": [[0.174, 0.250, 0.218], [0.826, 0.750, 0.782], [0.079, 0.250, 0.559], [0.921, 0.750, 0.441], [0.337, 0.750, 0.834], [0.663, 0.250, 0.166], [0.119, 0.250, 0.835], [0.183, 0.750, 0.539], [0.472, 0.750, 0.199], [0.528, 0.250, 0.801], [0.817, 0.250, 0.461], [0.881, 0.750, 0.165]], "energy_ev_per_atom": -4.0600, "space_group": "P2_1/m (11)", "volume_a3_per_cell": 296.5}